## AcDyP2 (PBE)

Data for a geometry-optimized AcDyP2 structure.

Cell lengths 4.2272, 4.2272, 20.7477 Å; angles 90.00, 90.00, 120.00 degrees
Space group R-3m (No. 166, hexagonal axes)
Symmetry-distinct sites (fractional):
Ac: 0.0000 0.0000 0.0000 (multiplicity 3)
Dy: 0.0000 0.0000 0.5000 (multiplicity 3)
P: 0.0000 0.0000 0.2422 (multiplicity 6)

- energy above the lowest structure with this stoichiometry (meV per atom) = 0.0
- mass density (g/cm³) = 7.0
- E_form (meV per atom) = -1494.6
- electronic total energy (eV per atom) = -6.377